VASP calculation (meta-GGA SCAN) on a PBEsol-optimized structure of CaZn5.

Unit cell a=5.267 b=5.267 c=4.168 alpha=90.00 beta=90.00 gamma=120.00
Fractional coordinates of all 6 atoms:
Ca: 0.000 0.000 0.000
Zn: 0.000 0.500 0.500
Zn: 0.333 0.667 0.000
Zn: 0.500 0.000 0.500
Zn: 0.500 0.500 0.500
Zn: 0.667 0.333 0.000

VASP energy ... -13.170 eV/atom
Space group ... No. 191
ΔE_f ... -0.30 eV per atom
D(E_F) ... 1.5 states/eV/cell

VASP calculation (meta-GGA SCAN) on a PBEsol-optimized structure of TaOs2Ru.

Unit cell a=3.871 b=3.871 c=3.895 alpha=90.00 beta=90.00 gamma=90.00
Fractional coordinates of all 4 atoms:
Ta: 0.000 0.000 0.000
Os: 0.000 0.500 0.500
Os: 0.500 0.000 0.500
Ru: 0.500 0.500 0.000

ΔE to the lowest computed polymorph ... 0 meV/atom
VASP energy ... -61.503 eV/atom
Space group ... No. 123
ΔE_f ... -0.21 eV per atom
D(E_F) ... 4.2 states/eV/cell

VASP calculation (meta-GGA SCAN) on a PBEsol-optimized structure of MoAsPdBr2.

Unit cell a=4.964 b=4.964 c=4.820 alpha=90.00 beta=90.00 gamma=90.00
Fractional coordinates of all 5 atoms:
Mo: 0.000 0.000 0.000
As: 0.000 0.000 0.500
Pd: 0.500 0.500 0.500
Br: 0.000 0.500 0.000
Br: 0.500 0.000 0.000

VASP energy ... -24.716 eV/atom
Space group ... No. 123
Uncorrected formation energy ... 3.2 eV per formula unit
D(E_F) ... 3.7 states/eV/cell

VASP calculation (meta-GGA SCAN) on a PBEsol-optimized structure of CaNbSiB2.

Unit cell a=4.029 b=4.029 c=4.754 alpha=90.00 beta=90.00 gamma=90.00
Fractional coordinates of all 5 atoms:
Ca: 0.000 0.000 0.000
Nb: 0.500 0.500 0.000
Si: 0.000 0.000 0.500
B: 0.000 0.500 0.500
B: 0.500 0.000 0.500

VASP energy ... -11.923 eV/atom
Space group ... No. 123
Uncorrected formation energy ... 8.1 eV per formula unit
D(E_F) ... 3.4 states/eV/cell